1.
The following is a GGA-PBE calculation of a relaxed KBa4Zr3O12 crystal, from Alexandria.

Results
Uncorrected formation energy, kJ/mol of atoms: -248.7
Total magnetization, μB/f.u.: 3.1
SG: Im-3m, No. 229
E, eV/cell: -145.5
Crystal system: cubic

Lattice parameters (Å, degrees): 7.5486 7.5486 7.5486 109.47 109.47 109.47
Fractional coordinates of all 20 atoms:
K1 0.0000 0.0000 0.0000
Ba1 0.0000 0.0000 0.5000
Ba2 0.0000 0.5000 0.0000
Ba3 0.5000 0.0000 0.0000
Ba4 0.5000 0.5000 0.5000
Zr1 0.0000 0.5000 0.5000
Zr2 0.5000 0.0000 0.5000
Zr3 0.5000 0.5000 0.0000
O1 0.0000 0.2704 0.2704
O2 0.0000 0.7296 0.7296
O3 0.2500 0.5000 0.7500
O4 0.2500 0.7500 0.5000
O5 0.2704 0.0000 0.2704
O6 0.2704 0.2704 0.0000
O7 0.5000 0.2500 0.7500
O8 0.5000 0.7500 0.2500
O9 0.7296 0.0000 0.7296
O10 0.7296 0.7296 0.0000
O11 0.7500 0.2500 0.5000
O12 0.7500 0.5000 0.2500

---

2.
The following is a GGA-PBE calculation of a relaxed K2BaOs crystal, from Alexandria.

Results
Total magnetization, μB/f.u.: 2.4
SG: R-3m, No. 166
E_form, meV per atom: 1418
E, eV/cell: -29.0
Crystal system: trigonal

Lattice parameters (Å, degrees): 3.4238 3.4238 40.7569 90.00 90.00 120.00
Fractional coordinates of all 12 atoms:
K1 0.0000 0.0000 0.2307
K2 0.0000 0.0000 0.7693
K3 0.3333 0.6667 0.4360
K4 0.3333 0.6667 0.8973
K5 0.6667 0.3333 0.1027
K6 0.6667 0.3333 0.5640
Ba1 0.0000 0.0000 0.0000
Ba2 0.3333 0.6667 0.6667
Ba3 0.6667 0.3333 0.3333
Os1 0.0000 0.0000 0.5000
Os2 0.3333 0.6667 0.1667
Os3 0.6667 0.3333 0.8333

---

3.
The following is a GGA-PBE calculation of a relaxed K2BaOs crystal, from Alexandria.

Results
Total magnetization, μB/f.u.: 2.6
SG: P4/mmm, No. 123
E_form, meV per atom: 1330
E, eV/cell: -10.0
Crystal system: tetragonal

Lattice parameters (Å, degrees): 3.3492 3.3492 13.1360 90.00 90.00 90.00
Fractional coordinates of all 4 atoms:
K1 0.0000 0.0000 0.1825
K2 0.0000 0.0000 0.8175
Ba1 0.5000 0.5000 0.5000
Os1 0.5000 0.5000 0.0000

---

4.
The following is a GGA-PBE calculation of a relaxed K2BaOs crystal, from Alexandria.

Results
Total magnetization, μB/f.u.: 0.8
SG: Immm, No. 71
E_form, meV per atom: 863
E, eV/cell: -23.8
Crystal system: orthorhombic

Lattice parameters (Å, degrees): 3.5856 5.1046 19.3345 90.00 90.00 90.00
Fractional coordinates of all 8 atoms:
K1 0.0000 0.0000 0.1558
K2 0.0000 0.0000 0.8442
K3 0.5000 0.5000 0.3442
K4 0.5000 0.5000 0.6558
Ba1 0.0000 0.5000 0.0000
Ba2 0.5000 0.0000 0.5000
Os1 0.0000 0.5000 0.5000
Os2 0.5000 0.0000 0.0000